[1]
{
  "formula": "Mg2FeReO6",
  "functional": "PBE+U",
  "state": "optimized geometry",
  "dft_energy_ev_per_atom": -7.049,
  "lattice_angstrom": [[2.5840, 1.4919, 4.6440], [-2.5840, 1.4919, 4.6440], [0.0000, -2.9838, 4.6440]],
  "species": ["Mg", "Mg", "Fe", "Re", "O", "O", "O", "O", "O", "O"],
  "fractional_positions": [[0.0000, 0.0000, 0.0000], [0.4973, 0.4973, 0.4973], [0.2095, 0.2095, 0.2095], [0.7027, 0.7027, 0.7027], [0.0787, 0.4306, 0.8107], [0.3202, 0.9166, 0.5922], [0.4306, 0.8107, 0.0787], [0.5922, 0.3202, 0.9166], [0.8107, 0.0787, 0.4306], [0.9166, 0.5922, 0.3202]]
}


[2]
{
  "formula": "Mg2FeRhO",
  "functional": "PBE+U",
  "state": "optimized geometry",
  "dft_energy_ev_per_atom": -4.747,
  "lattice_angstrom": [[3.9963, 0.0000, 0.0000], [0.0000, 3.9963, 0.0000], [0.0000, 0.0000, 4.6545]],
  "species": ["Mg", "Mg", "Fe", "Rh", "O"],
  "fractional_positions": [[0.0000, 0.5000, 0.0000], [0.5000, 0.0000, 0.0000], [0.0000, 0.0000, 0.5000], [0.5000, 0.5000, 0.5000], [0.5000, 0.5000, 0.0000]]
}